[1]
! Ho2Al2Ag3, optimized geometry, DFT PBE-GGA; values from VASP
&SYSTEM
  ibrav = 0, nat = 7, ntyp = 3
/
ATOMIC_SPECIES
Ho 164.93 Ho.upf
Al 26.98 Al.upf
Ag 107.87 Ag.upf
ATOMIC_POSITIONS angstrom
Ho 2.185 6.849 0.000
Ho 2.185 -6.849 0.000
Al 2.185 4.237 1.702
Al 2.185 -4.237 1.702
Ag 0.000 0.000 0.000
Ag 2.185 1.398 1.702
Ag 2.185 -1.398 1.702
CELL_PARAMETERS angstrom
2.185 -9.859 0.000
2.185 9.859 0.000
0.000 0.000 3.403
! - SG: No. 65
! - Offset from the most stable computed form: 18.8 kJ/mol of formula units


[2]
! Ho5Al2Ag, optimized geometry, DFT PBE-GGA; values from VASP
&SYSTEM
  ibrav = 0, nat = 16, ntyp = 3
/
ATOMIC_SPECIES
Ho 164.93 Ho.upf
Al 26.98 Al.upf
Ag 107.87 Ag.upf
ATOMIC_POSITIONS angstrom
Ho 0.000 0.000 0.000
Ho 5.065 1.274 -2.186
Ho 1.274 2.517 -2.186
Ho 5.065 1.274 2.186
Ho 1.274 2.517 2.186
Ho 0.000 0.000 7.374
Ho 2.517 1.274 5.187
Ho -1.274 2.517 5.187
Ho 2.517 1.274 9.560
Ho -1.274 2.517 9.560
Al 2.865 0.925 0.000
Al 2.865 -0.925 7.374
Al 0.925 4.716 0.000
Al 0.925 2.865 7.374
Ag 0.000 0.000 3.687
Ag 0.000 0.000 11.061
CELL_PARAMETERS angstrom
-3.791 3.791 7.374
3.791 -3.791 7.374
3.791 3.791 -7.374
! - SG: No. 140


[3]
! Ho3Al3Ag, optimized geometry, DFT PBE-GGA; values from VASP
&SYSTEM
  ibrav = 0, nat = 7, ntyp = 3
/
ATOMIC_SPECIES
Ho 164.93 Ho.upf
Al 26.98 Al.upf
Ag 107.87 Ag.upf
ATOMIC_POSITIONS angstrom
Ho 0.000 0.000 0.000
Ho 0.000 0.000 7.734
Ho 0.000 2.278 3.854
Al 1.790 0.000 2.567
Al 0.000 0.000 10.969
Al 0.000 0.000 16.482
Ag 1.790 0.000 5.197
CELL_PARAMETERS angstrom
-1.790 2.278 9.832
1.790 -2.278 9.832
1.790 2.278 -9.832
! - SG: No. 44


[4]
! Ho3Al2Ag7, optimized geometry, DFT PBE-GGA; values from VASP
&SYSTEM
  ibrav = 0, nat = 12, ntyp = 3
/
ATOMIC_SPECIES
Ho 164.93 Ho.upf
Al 26.98 Al.upf
Ag 107.87 Ag.upf
ATOMIC_POSITIONS angstrom
Ho 0.000 0.000 0.000
Ho 0.000 0.000 5.054
Ho 0.000 0.000 24.156
Al 0.000 0.000 10.664
Al 0.000 0.000 18.546
Ag 2.075 0.000 2.306
Ag 0.000 0.000 8.038
Ag 2.075 0.000 12.299
Ag 0.000 0.000 14.605
Ag 0.000 2.075 2.306
Ag 0.000 0.000 21.172
Ag 0.000 2.075 12.299
CELL_PARAMETERS angstrom
-2.075 2.075 14.605
2.075 -2.075 14.605
2.075 2.075 -14.605
! - SG: No. 139


[5]
! Ho2AlAg3, optimized geometry, DFT PBE-GGA; values from VASP
&SYSTEM
  ibrav = 0, nat = 6, ntyp = 3
/
ATOMIC_SPECIES
Ho 164.93 Ho.upf
Al 26.98 Al.upf
Ag 107.87 Ag.upf
ATOMIC_POSITIONS angstrom
Ho 0.000 0.000 0.000
Ho 0.000 2.137 4.235
Al 0.000 0.000 10.153
Ag 1.856 0.000 2.806
Ag 1.856 0.000 5.552
Ag 0.000 0.000 7.527
CELL_PARAMETERS angstrom
-1.856 2.137 8.697
1.856 -2.137 8.697
1.856 2.137 -8.697
! - SG: No. 44
! - Offset from the most stable computed form: 52.8 kJ/mol of formula units


[6]
! HoAl3Ag10, optimized geometry, DFT PBE-GGA; values from VASP
&SYSTEM
  ibrav = 0, nat = 28, ntyp = 3
/
ATOMIC_SPECIES
Ho 164.93 Ho.upf
Al 26.98 Al.upf
Ag 107.87 Ag.upf
ATOMIC_POSITIONS angstrom
Ho 3.257 3.257 3.257
Ho 9.772 9.772 9.772
Al 6.515 6.515 3.075
Al 6.515 3.075 6.515
Al 9.954 6.515 6.515
Al 3.075 6.515 6.515
Al 6.515 9.954 6.515
Al 6.515 6.515 9.954
Ag 1.544 1.544 1.544
Ag 4.971 4.971 1.544
Ag 4.971 1.544 4.971
Ag 6.515 4.254 4.254
Ag 8.775 6.515 4.254
Ag 8.775 4.254 6.515
Ag 11.486 8.059 8.059
Ag 4.254 6.515 4.254
Ag 6.515 8.775 4.254
Ag 4.254 4.254 6.515
Ag 8.775 8.775 6.515
Ag 6.515 4.254 8.775
Ag 8.775 6.515 8.775
Ag 1.544 4.971 4.971
Ag 4.254 8.775 6.515
Ag 4.254 6.515 8.775
Ag 6.515 8.775 8.775
Ag 8.059 11.486 8.059
Ag 8.059 8.059 11.486
Ag 11.486 11.486 11.486
CELL_PARAMETERS angstrom
0.000 6.515 6.515
6.515 0.000 6.515
6.515 6.515 0.000
! - SG: No. 225


[7]
! Ho2Al5Ag3, optimized geometry, DFT PBE-GGA; values from VASP
&SYSTEM
  ibrav = 0, nat = 20, ntyp = 3
/
ATOMIC_SPECIES
Ho 164.93 Ho.upf
Al 26.98 Al.upf
Ag 107.87 Ag.upf
ATOMIC_POSITIONS angstrom
Ho 2.735 1.520 0.000
Ho 2.735 -1.520 2.993
Ho 2.847 7.469 0.000
Ho 2.847 4.429 2.993
Al 5.583 -2.930 1.497
Al 7.179 1.412 0.000
Al 0.000 0.000 1.497
Al 1.596 4.538 0.000
Al 5.583 2.930 1.497
Al 0.000 3.019 1.497
Al 3.987 1.412 2.993
Al 0.000 0.000 4.490
Al -1.596 4.538 2.993
Al 0.000 8.880 1.497
Ag 9.654 1.512 0.000
Ag 5.583 0.000 1.497
Ag 4.072 4.438 0.000
Ag 1.511 1.512 2.993
Ag 0.000 5.949 1.497
Ag -4.072 4.438 2.993
CELL_PARAMETERS angstrom
-5.583 5.949 2.993
5.583 -5.949 2.993
5.583 5.949 -2.993
! - SG: No. 72


[8]
! Ho4AlAg3, optimized geometry, DFT PBE-GGA; values from VASP
&SYSTEM
  ibrav = 0, nat = 8, ntyp = 3
/
ATOMIC_SPECIES
Ho 164.93 Ho.upf
Al 26.98 Al.upf
Ag 107.87 Ag.upf
ATOMIC_POSITIONS angstrom
Ho 0.000 0.000 1.854
Ho 0.000 0.000 5.557
Ho 0.000 0.000 9.276
Ho 0.000 0.000 12.978
Al 1.784 1.784 0.000
Ag 1.784 1.784 3.699
Ag 1.784 1.784 7.416
Ag 1.784 1.784 11.133
CELL_PARAMETERS angstrom
3.567 0.000 0.000
0.000 3.567 0.000
0.000 0.000 14.832
! - SG: No. 123
! - Offset from the most stable computed form: 0.0 kJ/mol of formula units


[9]
! Ho2Al3Ag5, optimized geometry, DFT PBE-GGA; values from VASP
&SYSTEM
  ibrav = 0, nat = 20, ntyp = 3
/
ATOMIC_SPECIES
Ho 164.93 Ho.upf
Al 26.98 Al.upf
Ag 107.87 Ag.upf
ATOMIC_POSITIONS angstrom
Ho 1.532 2.819 0.000
Ho 7.335 3.135 0.000
Ho -1.532 2.819 2.942
Ho 4.271 3.135 2.942
Al 4.303 -4.377 2.942
Al 5.803 0.000 1.471
Al 4.303 4.377 0.000
Al 1.500 1.577 2.942
Al 0.000 5.954 1.471
Al 1.500 10.332 0.000
Ag 4.568 1.851 0.000
Ag 0.000 0.000 1.471
Ag 2.999 0.000 1.471
Ag 8.607 0.000 1.471
Ag 4.568 -1.851 2.942
Ag 1.235 7.805 0.000
Ag -2.804 5.954 1.471
Ag 2.804 5.954 1.471
Ag 0.000 0.000 4.413
Ag 1.235 4.104 2.942
CELL_PARAMETERS angstrom
-5.803 5.954 2.942
5.803 -5.954 2.942
5.803 5.954 -2.942
! - SG: No. 72
! - Offset from the most stable computed form: 23.2 kJ/mol of formula units


[10]
! Ho3Al3Ag2, optimized geometry, DFT PBE-GGA; values from VASP
&SYSTEM
  ibrav = 0, nat = 16, ntyp = 3
/
ATOMIC_SPECIES
Ho 164.93 Ho.upf
Al 26.98 Al.upf
Ag 107.87 Ag.upf
ATOMIC_POSITIONS angstrom
Ho 2.250 4.444 9.027
Ho 2.250 4.444 13.149
Ho 2.250 1.512 11.088
Ho 2.250 -1.512 3.696
Ho 2.250 -4.444 1.635
Ho 2.250 -4.444 5.757
Al 2.250 1.602 3.696
Al 2.250 1.198 7.962
Al 2.250 1.198 14.214
Al 2.250 -1.198 0.570
Al 2.250 -1.198 6.822
Al 2.250 -1.602 11.088
Ag 2.250 3.147 1.469
Ag 2.250 3.147 5.923
Ag 2.250 -3.147 8.861
Ag 2.250 -3.147 13.316
CELL_PARAMETERS angstrom
2.250 -5.366 0.000
2.250 5.366 0.000
0.000 0.000 14.784
! - SG: No. 63


[11]
! Ho3Al2Ag2, optimized geometry, DFT PBE-GGA; values from VASP
&SYSTEM
  ibrav = 0, nat = 7, ntyp = 3
/
ATOMIC_SPECIES
Ho 164.93 Ho.upf
Al 26.98 Al.upf
Ag 107.87 Ag.upf
ATOMIC_POSITIONS angstrom
Ho 0.000 0.000 0.000
Ho 2.113 7.447 0.000
Ho 2.113 -7.447 0.000
Al 2.113 4.747 1.735
Al 2.113 -4.747 1.735
Ag 2.113 1.755 1.735
Ag 2.113 -1.755 1.735
CELL_PARAMETERS angstrom
2.113 -10.918 0.000
2.113 10.918 0.000
0.000 0.000 3.470
! - SG: No. 65


[12]
! HoAl2Ag4, optimized geometry, DFT PBE-GGA; values from VASP
&SYSTEM
  ibrav = 0, nat = 7, ntyp = 3
/
ATOMIC_SPECIES
Ho 164.93 Ho.upf
Al 26.98 Al.upf
Ag 107.87 Ag.upf
ATOMIC_POSITIONS angstrom
Ho 0.000 0.000 0.000
Al 3.480 0.000 1.349
Al 0.000 3.480 1.349
Ag 2.097 2.097 0.000
Ag 1.382 -1.382 2.698
Ag -1.382 1.382 2.698
Ag 1.382 1.382 2.698
CELL_PARAMETERS angstrom
-3.480 3.480 2.698
3.480 -3.480 2.698
3.480 3.480 -2.698
! - SG: No. 139


[13]
! Ho4Al2InAg, optimized geometry, DFT PBE-GGA; values from VASP
&SYSTEM
  ibrav = 0, nat = 8, ntyp = 4
/
ATOMIC_SPECIES
Ho 164.93 Ho.upf
Al 26.98 Al.upf
In 114.82 In.upf
Ag 107.87 Ag.upf
ATOMIC_POSITIONS angstrom
Ho 0.000 0.000 3.092
Ho 0.000 0.000 9.438
Ho 0.000 0.000 15.899
Ho 0.000 0.000 22.245
Al 0.000 0.000 6.338
Al 0.000 0.000 18.999
In 0.000 0.000 12.668
Ag 0.000 0.000 0.000
CELL_PARAMETERS angstrom
2.574 1.486 8.446
-2.574 1.486 8.446
0.000 -2.972 8.446
! - SG: No. 166


[14]
! Ho4AlInAg2, optimized geometry, DFT PBE-GGA; values from VASP
&SYSTEM
  ibrav = 0, nat = 8, ntyp = 4
/
ATOMIC_SPECIES
Ho 164.93 Ho.upf
Al 26.98 Al.upf
In 114.82 In.upf
Ag 107.87 Ag.upf
ATOMIC_POSITIONS angstrom
Ho 0.000 0.000 3.109
Ho 0.000 0.000 9.448
Ho 0.000 0.000 15.905
Ho 0.000 0.000 22.244
Al 0.000 0.000 0.000
In 0.000 0.000 12.676
Ag 0.000 0.000 6.351
Ag 0.000 0.000 19.002
CELL_PARAMETERS angstrom
2.590 1.495 8.451
-2.590 1.495 8.451
0.000 -2.991 8.451
! - SG: No. 166


[15]
! HoAlInAg, optimized geometry, DFT PBE-GGA; values from VASP
&SYSTEM
  ibrav = 0, nat = 4, ntyp = 4
/
ATOMIC_SPECIES
Ho 164.93 Ho.upf
Al 26.98 Al.upf
In 114.82 In.upf
Ag 107.87 Ag.upf
ATOMIC_POSITIONS angstrom
Ho 0.000 0.000 0.000
Al 3.514 3.514 3.514
In 1.757 1.757 1.757
Ag 5.271 5.271 5.271
CELL_PARAMETERS angstrom
0.000 3.514 3.514
3.514 0.000 3.514
3.514 3.514 0.000
! - SG: No. 216


[16]
! LiHoAlAg, optimized geometry, DFT PBE-GGA; values from VASP
&SYSTEM
  ibrav = 0, nat = 4, ntyp = 4
/
ATOMIC_SPECIES
Li 6.94 Li.upf
Ho 164.93 Ho.upf
Al 26.98 Al.upf
Ag 107.87 Ag.upf
ATOMIC_POSITIONS angstrom
Li 0.000 0.000 0.000
Ho 1.679 1.679 1.679
Al 5.037 5.037 5.037
Ag 3.358 3.358 3.358
CELL_PARAMETERS angstrom
0.000 3.358 3.358
3.358 0.000 3.358
3.358 3.358 0.000
! - SG: No. 216


[17]
! HoLuAlAg, optimized geometry, DFT PBE-GGA; values from VASP
&SYSTEM
  ibrav = 0, nat = 4, ntyp = 4
/
ATOMIC_SPECIES
Ho 164.93 Ho.upf
Lu 174.97 Lu.upf
Al 26.98 Al.upf
Ag 107.87 Ag.upf
ATOMIC_POSITIONS angstrom
Ho 0.000 0.000 0.000
Lu 3.597 3.597 3.597
Al 5.395 5.395 5.395
Ag 1.798 1.798 1.798
CELL_PARAMETERS angstrom
0.000 3.597 3.597
3.597 0.000 3.597
3.597 3.597 0.000
! - SG: No. 216


[18]
! HoMgAlAg, optimized geometry, DFT PBE-GGA; values from VASP
&SYSTEM
  ibrav = 0, nat = 4, ntyp = 4
/
ATOMIC_SPECIES
Ho 164.93 Ho.upf
Mg 24.30 Mg.upf
Al 26.98 Al.upf
Ag 107.87 Ag.upf
ATOMIC_POSITIONS angstrom
Ho 0.000 0.000 0.000
Mg 3.477 3.477 3.477
Al 1.739 1.739 1.739
Ag 5.216 5.216 5.216
CELL_PARAMETERS angstrom
0.000 3.477 3.477
3.477 0.000 3.477
3.477 3.477 0.000
! - SG: No. 216


[19]
! HoMgAl2Ag2, optimized geometry, DFT PBE-GGA; values from VASP
&SYSTEM
  ibrav = 0, nat = 6, ntyp = 4
/
ATOMIC_SPECIES
Ho 164.93 Ho.upf
Mg 24.30 Mg.upf
Al 26.98 Al.upf
Ag 107.87 Ag.upf
ATOMIC_POSITIONS angstrom
Ho 0.000 0.000 0.000
Mg 0.000 0.000 3.292
Al 0.000 2.638 4.868
Al 2.285 1.319 1.717
Ag 0.000 2.638 1.806
Ag 2.285 1.319 4.778
CELL_PARAMETERS angstrom
4.570 0.000 0.000
-2.285 3.958 0.000
0.000 0.000 6.584
! - SG: No. 164


[20]
! Ho4MgAl2Ag, optimized geometry, DFT PBE-GGA; values from VASP
&SYSTEM
  ibrav = 0, nat = 8, ntyp = 4
/
ATOMIC_SPECIES
Ho 164.93 Ho.upf
Mg 24.30 Mg.upf
Al 26.98 Al.upf
Ag 107.87 Ag.upf
ATOMIC_POSITIONS angstrom
Ho 0.000 0.000 3.076
Ho 0.000 0.000 9.409
Ho 0.000 0.000 15.874
Ho 0.000 0.000 22.207
Mg 0.000 0.000 12.642
Al 0.000 0.000 6.216
Al 0.000 0.000 19.067
Ag 0.000 0.000 0.000
CELL_PARAMETERS angstrom
2.573 1.486 8.428
-2.573 1.486 8.428
0.000 -2.972 8.428
! - SG: No. 166


no.,formation enthalpy at 0 K (eV/atom)
1,-0.254
2,-0.255
3,-0.386
4,-0.179
5,-0.221
6,0.033
7,-0.329
8,-0.345
9,-0.238
10,-0.396
11,-0.307
12,-0.226
13,-0.369
14,-0.374
15,-0.206
16,-0.322
17,-0.350
18,-0.297
19,-0.277
20,-0.314